1.
{
  "formula": "TlCr2GeH",
  "functional": "meta-GGA SCAN",
  "state": "single point on PBEsol structure",
  "dft_energy_ev_per_cell": -124.30,
  "lattice": [[5.046, 0.000, 0.000], [0.000, 5.290, 0.000], [0.000, 0.000, 5.290]],
  "species": ["Cr", "Cr", "Tl", "Ge", "H"],
  "frac_coords": [[0.000, 0.000, 0.500], [0.000, 0.500, 0.000], [0.000, 0.000, 0.000], [0.500, 0.000, 0.000], [0.500, 0.500, 0.500]]
}

=====

2.
{
  "formula": "KTePt",
  "functional": "meta-GGA SCAN",
  "state": "single point on PBEsol structure",
  "raw_formation_energy_ev_per_atom": -0.719,
  "lattice": [[4.433, 0.000, 0.000], [-2.216, 3.839, 0.000], [0.000, 0.000, 5.128]],
  "species": ["K", "Pt", "Te"],
  "frac_coords": [[0.000, 0.000, 0.500], [0.333, 0.667, 0.000], [0.667, 0.333, 0.000]]
}

=====

3.
{
  "formula": "NbFeRhBr2",
  "functional": "meta-GGA SCAN",
  "state": "single point on PBEsol structure",
  "raw_formation_energy_ev_per_atom": 0.819,
  "lattice": [[-1.410, -4.225, 1.944], [0.325, -2.154, -4.447], [4.728, -1.160, 0.908]],
  "species": ["Nb", "Rh", "Fe", "Br", "Br"],
  "frac_coords": [[0.000, 0.000, 0.000], [0.500, 0.000, 0.000], [0.500, 0.500, 0.500], [0.000, 0.000, 0.500], [0.000, 0.500, 0.000]]
}

=====

4.
{
  "formula": "Tl2HgSb",
  "functional": "meta-GGA SCAN",
  "state": "single point on PBEsol structure",
  "raw_formation_energy_ev_per_atom": 0.046,
  "relative_energy_ev_per_atom": 0.0451,
  "lattice": [[3.185, 0.000, 0.000], [0.000, 6.229, -0.221], [0.000, -2.861, 5.537]],
  "species": ["Sb", "Tl", "Tl", "Hg"],
  "frac_coords": [[0.500, 0.000, 0.000], [0.000, 0.000, 0.500], [0.000, 0.500, 0.000], [0.500, 0.500, 0.500]]
}

=====

5.
{
  "formula": "Mn2Ir3",
  "functional": "meta-GGA SCAN",
  "state": "single point on PBEsol structure",
  "formation_energy_ev_per_atom": -0.112,
  "lattice": [[4.041, 0.000, 0.000], [-2.021, 3.500, 0.000], [0.000, 0.000, 5.063]],
  "species": ["Ir", "Ir", "Ir", "Mn", "Mn"],
  "frac_coords": [[0.000, 0.000, 0.000], [0.333, 0.667, 0.342], [0.667, 0.333, 0.658], [0.333, 0.667, 0.824], [0.667, 0.333, 0.176]]
}

=====

6.
{
  "formula": "Ba2LiCl",
  "functional": "meta-GGA SCAN",
  "state": "single point on PBEsol structure",
  "raw_formation_energy_ev_per_atom": -0.830,
  "relative_energy_ev_per_atom": 0.0821,
  "lattice": [[7.747, 0.067, 0.109], [-2.813, 7.218, -0.109], [-2.813, -3.408, 6.364]],
  "species": ["Li", "Li", "Ba", "Ba", "Ba", "Ba", "Cl", "Cl"],
  "frac_coords": [[0.000, 0.500, 0.500], [0.500, 0.250, 0.750], [0.046, 0.671, 0.125], [0.954, 0.079, 0.625], [0.454, 0.375, 0.329], [0.546, 0.875, 0.921], [0.000, 0.000, 0.000], [0.500, 0.750, 0.250]]
}

=====

7.
{
  "formula": "SrLi2Pb",
  "functional": "meta-GGA SCAN",
  "state": "single point on PBEsol structure",
  "formation_energy_ev_per_atom": -0.481,
  "lattice": [[-4.108, -1.130, -2.413], [0.086, -3.401, -3.521], [-2.433, -5.298, 1.655]],
  "species": ["Pb", "Sr", "Li", "Li"],
  "frac_coords": [[0.549, 0.549, 0.353], [0.759, 0.759, 0.723], [0.949, 0.949, 0.153], [0.242, 0.242, 0.275]]
}

=====

8.
{
  "formula": "AlSbSe2",
  "functional": "meta-GGA SCAN",
  "state": "single point on PBEsol structure",
  "raw_formation_energy_ev_per_atom": -0.129,
  "relative_energy_ev_per_atom": 0.4285,
  "lattice": [[3.681, 0.000, 0.000], [0.000, 5.042, -0.001], [0.000, -1.716, 4.741]],
  "species": ["Sb", "Al", "Se", "Se"],
  "frac_coords": [[0.500, 0.000, 0.000], [0.500, 0.500, 0.500], [0.000, 0.725, 0.275], [0.000, 0.275, 0.725]]
}

=====

9.
{
  "formula": "Rb3CuS",
  "functional": "meta-GGA SCAN",
  "state": "single point on PBEsol structure",
  "raw_formation_energy_ev_per_atom": -0.348,
  "lattice": [[6.234, 0.000, 0.000], [0.000, 6.234, 0.000], [0.000, 0.000, 6.234]],
  "species": ["S", "Cu", "Rb", "Rb", "Rb"],
  "frac_coords": [[0.000, 0.000, 0.000], [0.500, 0.500, 0.500], [0.000, 0.500, 0.000], [0.000, 0.000, 0.500], [0.500, 0.000, 0.000]]
}

=====

10.
{
  "formula": "ScAuBr",
  "functional": "meta-GGA SCAN",
  "state": "single point on PBEsol structure",
  "raw_formation_energy_ev_per_atom": -0.328,
  "relative_energy_ev_per_atom": 0.0000,
  "lattice": [[-1.556, -1.062, -4.283], [-1.810, -4.230, -0.850], [-4.591, -0.469, -0.772]],
  "species": ["Au", "Br", "Sc"],
  "frac_coords": [[0.250, 0.250, 0.250], [0.000, 0.000, 0.000], [0.500, 0.500, 0.500]]
}

=====

11.
{
  "formula": "PRh2Se",
  "functional": "meta-GGA SCAN",
  "state": "single point on PBEsol structure",
  "raw_formation_energy_ev_per_atom": -0.394,
  "lattice": [[3.325, 0.000, 0.000], [-1.662, 3.720, -0.047], [0.000, -0.811, 5.191]],
  "species": ["P", "Rh", "Rh", "Se"],
  "frac_coords": [[0.710, 0.421, 0.062], [0.016, 0.031, 0.133], [0.256, 0.512, 0.782], [0.518, 0.036, 0.524]]
}

=====

12.
{
  "formula": "MgRhNF2",
  "functional": "meta-GGA SCAN",
  "state": "single point on PBEsol structure",
  "raw_formation_energy_ev_per_atom": -0.955,
  "lattice": [[-0.219, 2.270, 2.666], [-3.424, -0.699, 0.314], [1.020, -3.588, 3.138]],
  "species": ["Mg", "N", "Rh", "F", "F"],
  "frac_coords": [[0.000, 0.000, 0.000], [0.000, 0.000, 0.500], [0.500, 0.500, 0.500], [0.000, 0.500, 0.000], [0.500, 0.000, 0.000]]
}

=====

Spin magnetization? In order: 9.00 0.00 4.24 0.00 5.48 0.46 0.04 0.00 0.15 0.00 0.00 2.66 μB per cell.